Density functional theory data (PBE) for crystalline Ho8As4Se3 at its relaxed geometry.

```
data_Ho8As4Se3
_chemical_formula_sum 'Ho16 As8 Se6'
_cell_length_a 11.4506
_cell_length_b 11.4737
_cell_length_c 8.0962
_cell_angle_alpha 90.00
_cell_angle_beta 134.81
_cell_angle_gamma 90.00
_space_group_name_H-M_alt 'C 1 2/m 1'
_space_group_IT_number 12
_space_group_name_Hall '-C 2y'
loop_
_atom_site_label
_atom_site_type_symbol
_atom_site_fract_x
_atom_site_fract_y
_atom_site_fract_z
Ho1 Ho 0.0000 0.2459 0.0000
Ho2 Ho 0.0000 0.2522 0.5000
Ho3 Ho 0.2471 0.0000 0.4948
Ho4 Ho 0.2490 0.5000 0.9918
As1 As 0.0000 0.0000 0.0000
As2 As 0.0000 0.5000 0.5000
As3 As 0.2500 0.2500 0.5000
Se1 Se 0.0000 0.5000 0.0000
Se2 Se 0.2500 0.2500 0.0000
```

Values from the calculation:
E_form (uncorrected) = -1.5281 eV/atom
electronic total energy = -0.4341 Ry per atom